An optimized crystal structure of Cs2RbAsO4, computed with PBE-GGA. Values from VASP.

Output
Space-group type: Fddd
ρ (g/cm3): 3.07
Formation energy (no corrections) (eV per atom): -1.441

```
&SYSTEM
  ibrav = 0, nat = 16, ntyp = 4
/
ATOMIC_SPECIES
Cs 132.91 Cs.upf
Rb 85.47 Rb.upf
As 74.92 As.upf
O 16.00 O.upf
CELL_PARAMETERS angstrom
6.609 0.000 0.000
3.305 5.979 0.000
3.305 0.000 13.420
ATOMIC_POSITIONS angstrom
Cs 3.305 0.000 8.185
Cs 6.609 0.000 5.235
Cs 8.261 2.989 11.945
Cs 8.261 2.989 1.475
Rb 8.261 2.989 6.710
Rb 0.000 0.000 0.000
As 4.957 2.989 6.710
As 3.305 0.000 0.000
O 5.609 4.917 0.947
O 5.609 1.062 12.473
O 10.914 4.917 12.473
O 4.305 1.062 0.947
O 5.957 4.052 5.763
O 5.957 1.927 7.658
O 10.566 4.052 7.658
O 3.956 1.927 5.763
```